No. 1
Compound: Mn2Os
Source: Alexandria
Functional: PBE
Structure: relaxed

a = 2.613 Å, b = 3.995 Å, c = 3.995 Å
α = 120.00°, β = 90.00°, γ = 90.00°
Sites, in units of the cell vectors:
Mn 0.000 0.333 0.667
Mn 0.000 0.667 0.333
Os 0.500 0.000 0.000

Calculated volume   36 Å³/cell
Total DFT energy (no corrections)   -9.8481 eV/atom
Energy relative to the elements   0.0 eV/f.u.


No. 2
Compound: Mn2Os
Source: Alexandria
Functional: PBE
Structure: relaxed

a = 5.716 Å, b = 5.716 Å, c = 5.716 Å
α = 90.00°, β = 90.00°, γ = 90.00°
Sites, in units of the cell vectors:
Mn 0.379 0.379 0.379
Mn 0.621 0.621 0.621
Mn 0.879 0.121 0.621
Mn 0.121 0.879 0.379
Mn 0.621 0.879 0.121
Mn 0.379 0.121 0.879
Mn 0.121 0.621 0.879
Mn 0.879 0.379 0.121
Os 0.000 0.000 0.000
Os 0.500 0.500 0.000
Os 0.500 0.000 0.500
Os 0.000 0.500 0.500

Calculated volume   187 Å³/cell
Total DFT energy (no corrections)   -8.7717 eV/atom
Energy relative to the elements   3.3 eV/f.u.


No. 3
Compound: Mn2Os
Source: Alexandria
Functional: PBE
Structure: relaxed

a = 7.296 Å, b = 7.296 Å, c = 7.296 Å
α = 153.42°, β = 153.42°, γ = 37.94°
Sites, in units of the cell vectors:
Mn 0.331 0.831 0.500
Mn 0.169 0.669 0.500
Mn 0.581 0.581 0.000
Mn 0.419 0.419 0.000
Os 0.000 0.000 0.000
Os 0.750 0.250 0.500

Calculated volume   78 Å³/cell
Total DFT energy (no corrections)   -9.1905 eV/atom
Energy relative to the elements   2.0 eV/f.u.


No. 4
Compound: Mn3Os
Source: Alexandria
Functional: PBE
Structure: relaxed

a = 4.824 Å, b = 4.824 Å, c = 4.824 Å
α = 90.00°, β = 90.00°, γ = 90.00°
Sites, in units of the cell vectors:
Mn 0.000 0.000 0.500
Mn 0.000 0.500 0.000
Mn 0.500 0.000 0.000
Os 0.000 0.000 0.000

Calculated volume   112 Å³/cell
Total DFT energy (no corrections)   -8.0643 eV/atom
Energy relative to the elements   6.5 eV/f.u.


No. 5
Compound: MnOs
Source: Alexandria
Functional: PBE
Structure: relaxed

a = 7.462 Å, b = 7.462 Å, c = 3.840 Å
α = 90.00°, β = 90.00°, γ = 90.00°
Sites, in units of the cell vectors:
Mn 0.338 0.338 0.000
Mn 0.338 0.662 0.000
Mn 0.662 0.338 0.000
Mn 0.662 0.662 0.000
Mn 0.838 0.838 0.500
Mn 0.838 0.162 0.500
Mn 0.162 0.838 0.500
Mn 0.162 0.162 0.500
Os 0.314 0.000 0.000
Os 0.686 0.000 0.000
Os 0.000 0.686 0.000
Os 0.000 0.314 0.000
Os 0.814 0.500 0.500
Os 0.186 0.500 0.500
Os 0.500 0.186 0.500
Os 0.500 0.814 0.500

Calculated volume   214 Å³/cell
Total DFT energy (no corrections)   -9.7686 eV/atom
Energy relative to the elements   0.9 eV/f.u.


No. 6
Compound: MnOs
Source: Alexandria
Functional: PBE
Structure: relaxed

a = 3.729 Å, b = 3.729 Å, c = 3.729 Å
α = 60.00°, β = 60.00°, γ = 60.00°
Sites, in units of the cell vectors:
Mn 0.000 0.000 0.000
Os 0.750 0.750 0.750

Calculated volume   37 Å³/cell
Total DFT energy (no corrections)   -8.8672 eV/atom
Energy relative to the elements   2.7 eV/f.u.


No. 7
Compound: Mn7Os
Source: Alexandria
Functional: PBE
Structure: relaxed

a = 5.078 Å, b = 5.078 Å, c = 5.078 Å
α = 60.00°, β = 60.00°, γ = 60.00°
Sites, in units of the cell vectors:
Mn 0.500 0.500 0.000
Mn 0.000 0.500 0.500
Mn 0.500 0.000 0.500
Mn 0.000 0.500 0.000
Mn 0.500 0.000 0.000
Mn 0.000 0.000 0.500
Mn 0.500 0.500 0.500
Os 0.000 0.000 0.000

Calculated volume   93 Å³/cell
Total DFT energy (no corrections)   -9.3566 eV/atom
Energy relative to the elements   0.6 eV/f.u.


No. 8
Compound: Mn7Os6
Source: Alexandria
Functional: PBE
Structure: relaxed

a = 9.007 Å, b = 9.007 Å, c = 9.007 Å
α = 29.93°, β = 29.93°, γ = 29.93°
Sites, in units of the cell vectors:
Mn 0.914 0.408 0.408
Mn 0.408 0.408 0.914
Mn 0.408 0.914 0.408
Mn 0.086 0.592 0.592
Mn 0.592 0.086 0.592
Mn 0.592 0.592 0.086
Mn 0.500 0.500 0.500
Os 0.952 0.952 0.952
Os 0.048 0.048 0.048
Os 0.848 0.848 0.848
Os 0.152 0.152 0.152
Os 0.663 0.663 0.663
Os 0.337 0.337 0.337

Calculated volume   161 Å³/cell
Total DFT energy (no corrections)   -10.0875 eV/atom
Energy relative to the elements   0.4 eV/f.u.